[1]
This record from the Alexandria database describes an optimized crystal structure of Ho2VN. The functional is PBE-GGA.

Results
Formation energy without anion corrections: -0.260 eV per atom

Cell lengths 3.3241, 3.3241, 8.7283 Å; angles 79.02, 79.02, 60.00 degrees
Each line ends with the local moment (μB).
Sites, in units of the cell vectors:
N 0.5000 0.5000 0.5000  0.01
Ho 0.1134 0.1134 0.6597  -0.18
Ho 0.8866 0.8866 0.3403  -0.18
V 0.0000 0.0000 0.0000  2.35

=====

[2]
This record from the Alexandria database describes an optimized crystal structure of Er2LuMg. The functional is PBE-GGA.

Results
E_form: 0.1 eV/f.u.
Distance to the lowest polymorph of the same formula: 56.2 meV/atom

Cell lengths 4.8183, 4.8667, 4.8667 Å; angles 90.00, 90.00, 90.00 degrees
Sites, in units of the cell vectors:
Mg 0.5000 0.0000 0.0000
Lu 0.5000 0.5000 0.5000
Er 0.0000 0.0000 0.5000
Er 0.0000 0.5000 0.0000

=====

[3]
This record from the Alexandria database describes an optimized crystal structure of PrCu2Te3. The functional is PBE-GGA.

Results
Formation energy without anion corrections: -0.463 eV per atom

Cell lengths 4.6406, 6.1841, 12.0914 Å; angles 90.00, 90.00, 90.00 degrees
Sites, in units of the cell vectors:
Pr 0.5190 0.5000 0.5000
Pr 0.4810 0.0000 0.0000
Cu 0.9590 0.0000 0.6107
Cu 0.9590 0.0000 0.3893
Cu 0.0410 0.5000 0.1107
Cu 0.0410 0.5000 0.8893
Te 0.0064 0.5000 0.6776
Te 0.4659 0.0000 0.5000
Te 0.0064 0.5000 0.3224
Te 0.9936 0.0000 0.1776
Te 0.5341 0.5000 0.0000
Te 0.9936 0.0000 0.8224